[1]
## Li2CaN (PBE)

Data for a relaxed structure of Li2CaN.

a b c (Å): 3.5248 17.7028 3.5895
angles (deg): 90.00 90.00 90.00
Fractional positions:
Li 0.0000 0.0578 0.2500
Li 0.0000 0.2513 0.7500
Li 0.0000 0.7487 0.2500
Li 0.0000 0.9422 0.7500
Li 0.5000 0.2487 0.2500
Li 0.5000 0.4422 0.7500
Li 0.5000 0.5578 0.2500
Li 0.5000 0.7513 0.7500
Ca 0.0000 0.3609 0.2500
Ca 0.0000 0.6391 0.7500
Ca 0.5000 0.1391 0.7500
Ca 0.5000 0.8609 0.2500
N 0.0000 0.1759 0.2500
N 0.0000 0.8241 0.7500
N 0.5000 0.3241 0.7500
N 0.5000 0.6759 0.2500

Output
As for the space group: Cmcm (63). Its final energy is -3.903 eV/atom.

[2]
## LiCaN (PBE)

Data for a relaxed structure of LiCaN.

a b c (Å): 3.5433 3.5433 3.7003
angles (deg): 90.00 90.00 120.00
Fractional positions:
Li 0.0000 0.0000 0.0000
Ca 0.3333 0.6667 0.4612
N 0.6667 0.3333 0.0946

Output
As for the space group: P3m1 (156). Its final energy is -4.536 eV/atom.

[3]
## LiCaN (PBE)

Data for a relaxed structure of LiCaN.

a b c (Å): 3.5588 3.5588 5.8204
angles (deg): 90.00 90.00 90.00
Fractional positions:
Li 0.2500 0.7500 0.0000
Li 0.7500 0.2500 0.0000
Ca 0.2500 0.2500 0.3354
Ca 0.7500 0.7500 0.6646
N 0.2500 0.2500 0.7713
N 0.7500 0.7500 0.2287

Output
As for the space group: P4/nmm (129). Its final energy is -4.637 eV/atom.